(w)
4
Lattice="3.741 0.000 0.000 0.000 3.741 0.035 0.000 -0.064 6.639" Properties=species:S:1:pos:R:3 comment="Y2MgAs | the Alexandria database | GGA-PBEsol | relaxed" m_tot_mub_per_fu=0.00 dos_ef_per_ev_cell=2.811 sg=P4/mmm pbc="T T T"
Mg 1.870 1.870 0.018
As 1.870 1.839 3.337
Y 0.000 3.723 1.817
Y 0.000 -0.046 4.857

(x)
4
Lattice="3.898 0.000 0.000 1.949 3.376 0.000 1.949 1.125 8.295" Properties=species:S:1:pos:R:3 comment="Y2MgAs | the Alexandria database | GGA-PBEsol | relaxed" m_tot_mub_per_fu=0.00 dos_ef_per_ev_cell=3.021 sg=R-3m pbc="T T T"
As 3.898 2.251 4.148
Y 1.949 1.125 2.495
Y 5.848 3.376 5.800
Mg 0.000 0.000 0.000

Most stable to least stable, the ends of the list are (x) and (w).

(w)
4
Lattice="2.887 0.000 0.000 1.444 2.500 0.000 1.444 0.833 7.225" Properties=species:S:1:pos:R:3 comment="MnNiAs2 | the Alexandria database | GGA-PBEsol | relaxed" m_tot_mub_per_fu=0.00 dos_ef_per_ev_cell=3.224 sg=R-3m pbc="T T T"
As 1.444 0.833 1.862
As 4.331 2.500 5.363
Ni 0.000 0.000 0.000
Mn 2.887 1.667 3.612

(x)
4
Lattice="2.784 0.000 0.000 0.000 3.589 0.000 -1.392 -1.795 5.763" Properties=species:S:1:pos:R:3 comment="MnNiAs2 | the Alexandria database | GGA-PBEsol | relaxed" m_tot_mub_per_fu=2.80 dos_ef_per_ev_cell=2.445 sg=Imm2 pbc="T T T"
As 1.392 0.000 2.410
As 1.392 1.795 5.248
Mn 1.392 1.795 0.719
Ni 0.000 1.795 3.149

Most stable to least stable, the ends of the list are (x) and (w).

(w)
4
Lattice="-1.453 -2.497 -0.508 1.661 -0.020 3.820 -4.358 2.364 0.842" Properties=species:S:1:pos:R:3 comment="MnAs2Os | the Alexandria database | GGA-PBEsol | relaxed" m_tot_mub_per_fu=2.10 dos_ef_per_ev_cell=3.570 sg=C2/m pbc="T T T"
Os -0.726 -1.249 -0.254
As -0.651 -0.026 1.993
As -3.498 -0.127 2.161
Mn -2.179 1.182 0.421

(x)
4
Lattice="2.993 0.000 0.000 0.000 3.676 0.000 0.000 0.000 5.273" Properties=species:S:1:pos:R:3 comment="MnAs2Os | the Alexandria database | GGA-PBEsol | relaxed" m_tot_mub_per_fu=2.56 dos_ef_per_ev_cell=2.404 sg=Pmm2 pbc="T T T"
As 1.496 1.838 1.633
As 0.000 0.000 5.019
Mn 0.000 0.000 2.401
Os 1.496 1.838 4.130

Most stable to least stable, the ends of the list are (x) and (w).

(w)
4
Lattice="-1.686 -2.930 0.347 2.860 -1.804 -1.343 2.214 1.586 7.512" Properties=species:S:1:pos:R:3 comment="MnAsPb2 | the Alexandria database | GGA-PBEsol | relaxed" m_tot_mub_per_fu=3.49 dos_ef_per_ev_cell=2.351 sg=Immm pbc="T T T"
Pb 2.439 -2.884 4.140
Pb 0.949 -0.265 2.376
Mn -0.843 -1.465 0.173
As 1.430 -0.902 -0.671

(x)
4
Lattice="5.088 0.000 0.000 2.544 4.406 0.000 2.544 1.469 4.154" Properties=species:S:1:pos:R:3 comment="MnAsPb2 | the Alexandria database | GGA-PBEsol | relaxed" m_tot_mub_per_fu=4.14 dos_ef_per_ev_cell=2.965 sg=F-43m pbc="T T T"
As 5.088 2.938 2.077
Pb 0.000 0.000 0.000
Pb 7.632 4.406 3.116
Mn 2.544 1.469 1.039

Most stable to least stable, the ends of the list are (w) and (x).

(w)
5
Lattice="-1.086 0.334 4.529 1.248 -4.455 0.628 4.366 1.357 0.947" Properties=species:S:1:pos:R:3 comment="Ta3MnAs | the Alexandria database | GGA-PBEsol | relaxed" m_tot_mub_per_fu=2.98 dos_ef_per_ev_cell=3.972 sg=Pm-3m pbc="T T T"
Mn 2.264 -1.382 3.052
Ta -0.543 0.167 2.264
Ta 2.183 0.678 0.473
Ta 0.624 -2.228 0.314
As 0.000 0.000 0.000

(x)
5
Lattice="4.543 0.000 0.000 0.000 4.543 0.000 0.000 0.000 4.543" Properties=species:S:1:pos:R:3 comment="Ta3MnAs | the Alexandria database | GGA-PBEsol | relaxed" m_tot_mub_per_fu=0.00 dos_ef_per_ev_cell=4.462 sg=Pm-3m pbc="T T T"
Mn 0.000 0.000 0.000
As 2.271 2.271 2.271
Ta 2.271 0.000 0.000
Ta 0.000 0.000 2.271
Ta 0.000 2.271 0.000

Most stable to least stable, the ends of the list are (x) and (w).

(w)
4
Lattice="3.283 0.000 0.000 0.000 3.283 0.000 0.000 0.000 6.448" Properties=species:S:1:pos:R:3 comment="Mn2TeAs | the Alexandria database | GGA-PBEsol | relaxed" m_tot_mub_per_fu=5.26 dos_ef_per_ev_cell=2.840 sg=P4mm pbc="T T T"
Mn 1.642 1.642 1.472
Mn 0.000 0.000 6.440
Te 0.000 0.000 2.721
As 1.642 1.642 5.488

(x)
4
Lattice="3.746 0.000 0.000 1.873 3.244 0.000 1.873 1.081 5.967" Properties=species:S:1:pos:R:3 comment="Mn2TeAs | the Alexandria database | GGA-PBEsol | relaxed" m_tot_mub_per_fu=6.92 dos_ef_per_ev_cell=2.843 sg=R-3m pbc="T T T"
Te 3.746 2.163 2.984
Mn 5.619 3.244 4.759
Mn 1.873 1.081 1.208
As 0.000 0.000 0.000

Most stable to least stable, the ends of the list are (w) and (x).

(w)
4
Lattice="3.177 0.000 0.000 1.588 2.751 0.000 1.588 0.917 8.546" Properties=species:S:1:pos:R:3 comment="MnTlAs2 | the Alexandria database | GGA-PBEsol | relaxed" m_tot_mub_per_fu=2.01 dos_ef_per_ev_cell=3.034 sg=R3m pbc="T T T"
Mn 3.177 1.834 4.565
Tl 1.588 0.917 2.384
As 4.765 2.751 6.025
As 1.588 0.917 8.390

(x)
4
Lattice="2.929 0.000 0.000 0.000 2.915 0.160 -1.465 -0.525 8.851" Properties=species:S:1:pos:R:3 comment="MnTlAs2 | the Alexandria database | GGA-PBEsol | relaxed" m_tot_mub_per_fu=0.00 dos_ef_per_ev_cell=1.950 sg=Cm pbc="T T T"
As 0.000 2.069 2.651
As 1.465 1.699 8.671
Mn 1.465 0.689 1.143
Tl 1.465 1.779 5.638

Most stable to least stable, the ends of the list are (x) and (w).

(w)
4
Lattice="-2.115 2.422 0.442 0.093 -0.503 3.205 3.894 3.326 0.408" Properties=species:S:1:pos:R:3 comment="Mn2ZnAs | the Alexandria database | GGA-PBEsol | relaxed" m_tot_mub_per_fu=5.40 dos_ef_per_ev_cell=3.057 sg=P4mm pbc="T T T"
Mn -0.011 1.814 1.928
Mn 3.849 3.287 0.404
As 2.021 3.549 2.141
Zn 1.853 1.583 0.194

(x)
4
Lattice="3.768 0.000 0.000 0.000 3.768 0.000 -1.884 -1.884 3.593" Properties=species:S:1:pos:R:3 comment="Mn2ZnAs | the Alexandria database | GGA-PBEsol | relaxed" m_tot_mub_per_fu=4.76 dos_ef_per_ev_cell=2.623 sg=I4/mmm pbc="T T T"
Mn 0.000 1.884 1.796
Mn 1.884 0.000 1.796
Zn 1.884 1.884 0.000
As 0.000 0.000 0.000

Most stable to least stable, the ends of the list are (x) and (w).

(w)
4
Lattice="-2.286 -1.712 2.945 -0.074 -3.521 -2.104 4.425 1.448 1.419" Properties=species:S:1:pos:R:3 comment="MoAs3 | the Alexandria database | GGA-PBEsol | relaxed" m_tot_mub_per_fu=0.00 dos_ef_per_ev_cell=4.065 sg=I4/mmm pbc="T T T"
As 0.480 -1.440 2.392
As -1.180 -2.616 0.420
As 1.585 -2.344 -0.132
Mo 0.000 0.000 0.000

(x)
4
Lattice="-0.746 2.079 3.011 1.234 -4.303 1.733 3.596 2.273 -2.223" Properties=species:S:1:pos:R:3 comment="MoAs3 | the Alexandria database | GGA-PBEsol | relaxed" m_tot_mub_per_fu=0.00 dos_ef_per_ev_cell=2.742 sg=R-3m pbc="T T T"
As 2.042 0.025 1.261
As 0.617 -2.151 0.866
As 1.798 1.137 -1.111
Mo -0.373 1.040 1.506

Most stable to least stable, the ends of the list are (x) and (w).

(w)
4
Lattice="2.853 0.000 0.000 1.426 2.470 0.000 1.426 0.823 9.817" Properties=species:S:1:pos:R:3 comment="MoAs2Ru | the Alexandria database | GGA-PBEsol | relaxed" m_tot_mub_per_fu=0.00 dos_ef_per_ev_cell=2.976 sg=R3m pbc="T T T"
Mo 2.853 1.647 4.710
Ru 1.426 0.823 2.568
As 4.279 2.470 6.804
As 4.279 2.470 0.644

(x)
4
Lattice="2.958 0.000 0.000 -1.479 3.943 0.016 0.000 -1.161 5.085" Properties=species:S:1:pos:R:3 comment="MoAs2Ru | the Alexandria database | GGA-PBEsol | relaxed" m_tot_mub_per_fu=0.00 dos_ef_per_ev_cell=4.175 sg=C2/m pbc="T T T"
As 1.479 1.112 3.837
As 0.000 1.670 1.264
Mo 0.000 -0.581 2.543
Ru 1.479 0.000 0.000

Most stable to least stable, the ends of the list are (x) and (w).

(w)
4
Lattice="3.188 0.000 0.000 0.000 4.511 0.000 0.000 0.000 4.511" Properties=species:S:1:pos:R:3 comment="ScMoAs2 | the Alexandria database | GGA-PBEsol | relaxed" m_tot_mub_per_fu=0.00 dos_ef_per_ev_cell=2.939 sg=P4/mmm pbc="T T T"
As 0.000 2.256 0.000
As 0.000 0.000 2.256
Sc 1.594 0.000 0.000
Mo 1.594 2.256 2.256

(x)
4
Lattice="4.550 0.000 0.000 2.275 3.940 0.000 2.275 1.313 3.715" Properties=species:S:1:pos:R:3 comment="ScMoAs2 | the Alexandria database | GGA-PBEsol | relaxed" m_tot_mub_per_fu=0.00 dos_ef_per_ev_cell=5.462 sg=F-43m pbc="T T T"
Mo 4.550 2.627 1.857
As 6.825 3.940 2.786
As 0.000 0.000 0.000
Sc 2.275 1.313 0.929

Most stable to least stable, the ends of the list are (w) and (x).

(w)
4
Lattice="-4.257 -1.099 1.953 -3.446 -1.988 -2.705 -1.224 -4.605 0.665" Properties=species:S:1:pos:R:3 comment="SrMoAs2 | the Alexandria database | GGA-PBEsol | relaxed" m_tot_mub_per_fu=1.55 dos_ef_per_ev_cell=2.985 sg=F-43m pbc="T T T"
As 0.000 0.000 0.000
As -6.695 -5.769 -0.066
Mo -4.464 -3.846 -0.044
Sr -2.232 -1.923 -0.022

(x)
4
Lattice="3.751 0.000 0.000 1.875 3.248 0.000 1.875 1.083 6.988" Properties=species:S:1:pos:R:3 comment="SrMoAs2 | the Alexandria database | GGA-PBEsol | relaxed" m_tot_mub_per_fu=0.00 dos_ef_per_ev_cell=0.982 sg=R-3m pbc="T T T"
Mo 3.751 2.165 3.494
As 1.875 1.083 2.087
As 5.626 3.248 4.900
Sr 0.000 0.000 0.000

(y)
4
Lattice="-0.276 -1.365 -3.201 -2.806 -3.471 1.722 -3.309 3.272 -1.110" Properties=species:S:1:pos:R:3 comment="SrMoAs2 | the Alexandria database | GGA-PBEsol | relaxed" m_tot_mub_per_fu=1.09 dos_ef_per_ev_cell=3.465 sg=Cmmm pbc="T T T"
As -1.403 -1.735 0.861
As -1.654 1.636 -0.555
Sr -3.196 -0.782 -1.295
Mo -0.138 -0.682 -1.601

Most stable to least stable, the ends of the list are (x) and (w).